VASP calculation (PBE) on crystalline YTiO at its relaxed geometry.

Properties
Energy   -47.053 eV per cell
E_form (uncorrected)   -4.209 eV/f.u.

Cell: 3.1662 3.1636 11.1626 Å, 90.00 90.00 120.03°
With the nearest neighbours (Å) after each atom.
Sites, in units of the cell vectors:
O1 0.2792 0.5585 0.5000  6 Y 2.44
O2 0.6096 0.2192 0.0000  6 Ti 2.25
Y1 0.6124 0.2248 0.6449  3 O 2.44
Y2 0.6124 0.2248 0.3551  3 O 2.44
Ti1 0.2765 0.5530 0.1177  3 O 2.25
Ti2 0.2765 0.5530 0.8823  3 O 2.25